Entry from Alexandria via LeMat-Bulk: an optimized crystal structure of NaSiAu2F (GGA-PBE).

Computed properties:
E_form (uncorrected), eV per atom: -0.01
Space-group type: P4/mmm

a = 5.4120 Å, b = 3.7126 Å, c = 5.4120 Å
α = 90.00°, β = 90.00°, γ = 90.00°
Last column: nearest neighbours and their distance in Å.
Fractional positions:
Au (0.5000, 0.0000, 0.0000)  2 F 2.71
Na (0.5000, 0.5000, 0.5000)  8 Au 3.28
Au (0.0000, 0.0000, 0.5000)  2 F 2.71
Si (0.0000, 0.5000, 0.0000)  2 F 1.86
F (0.0000, 0.0000, 0.0000)  2 Si 1.86

=====

Entry from Alexandria via LeMat-Bulk: an optimized crystal structure of NaSrAu2F8 (GGA-PBE).

Computed properties:
E_form (uncorrected), eV per atom: -1.97
Space-group type: I-4

a = 5.9501 Å, b = 5.9501 Å, c = 6.6536 Å
α = 116.56°, β = 116.56°, γ = 90.00°
Last column: nearest neighbours and their distance in Å.
Fractional positions:
F (0.3663, 0.0410, 0.4525)  1 Au 2.06
F (0.1631, 0.6109, 0.9579)  1 Au 2.05
Na (0.7500, 0.2500, 0.5000)  4 F 2.42
Au (0.2500, 0.7500, 0.5000)  4 F 2.06
F (0.6530, 0.8369, 0.0421)  1 Au 2.05
F (0.9590, 0.9138, 0.5475)  1 Au 2.06
F (0.7948, 0.3470, 0.9579)  1 Au 2.05
Au (0.5000, 0.5000, 0.0000)  4 F 2.05
F (0.0862, 0.4115, 0.4525)  1 Au 2.06
F (0.3891, 0.2052, 0.0421)  1 Au 2.05
Sr (0.0000, 0.0000, 0.0000)  8 F 2.46-2.71
F (0.5885, 0.6337, 0.5475)  1 Au 2.06

=====

Number 1: raw total energy -3.045 eV per atom. Number 2: raw total energy -4.010 eV per atom.